[1]
Entry from the Alexandria database: an optimized crystal structure of InOs (PBE).

```
data_InOs
_chemical_formula_sum 'In4 Os4'
_cell_length_a 2.901
_cell_length_b 4.631
_cell_length_c 11.072
_cell_angle_alpha 90.00
_cell_angle_beta 90.00
_cell_angle_gamma 90.00
_symmetry_space_group_name_H-M 'I m m a'
_symmetry_Int_Tables_number 74
_symmetry_space_group_name_Hall '-I 2b 2'
loop_
_atom_site_label
_atom_site_type_symbol
_atom_site_fract_x
_atom_site_fract_y
_atom_site_fract_z
_atom_site_occupancy
In1 In 0.000 0.250 0.096 1
Os1 Os 0.000 0.250 0.655 1
```

D(E_F) ... 0.834 states/eV per atom
Total energy ... -0.475 Ry per atom
DFT formation energy ... 0.520 eV per atom
M_tot ... 0.0 Bohr magnetons per cell

---

[2]
Entry from the Alexandria database: an optimized crystal structure of InOs2 (PBE).

```
data_InOs2
_chemical_formula_sum 'In4 Os8'
_cell_length_a 2.863
_cell_length_b 14.800
_cell_length_c 4.594
_cell_angle_alpha 90.00
_cell_angle_beta 90.00
_cell_angle_gamma 90.00
_symmetry_space_group_name_H-M 'C m c m'
_symmetry_Int_Tables_number 63
_symmetry_space_group_name_Hall '-C 2c 2'
loop_
_atom_site_label
_atom_site_type_symbol
_atom_site_fract_x
_atom_site_fract_y
_atom_site_fract_z
_atom_site_occupancy
In1 In 0.000 0.215 0.250 1
Os1 Os 0.000 0.104 0.750 1
Os2 Os 0.000 0.454 0.750 1
```

D(E_F) ... 0.551 states/eV per atom
Total energy ... -0.588 Ry per atom
DFT formation energy ... 0.401 eV per atom
M_tot ... 0.0 Bohr magnetons per cell

---

[3]
Entry from the Alexandria database: an optimized crystal structure of InOs2 (PBE).

```
data_InOs2
_chemical_formula_sum 'In4 Os8'
_cell_length_a 6.361
_cell_length_b 6.361
_cell_length_c 5.142
_cell_angle_alpha 90.00
_cell_angle_beta 90.00
_cell_angle_gamma 90.00
_symmetry_space_group_name_H-M 'I 4/m c m'
_symmetry_Int_Tables_number 140
_symmetry_space_group_name_Hall '-I 4 2c'
loop_
_atom_site_label
_atom_site_type_symbol
_atom_site_fract_x
_atom_site_fract_y
_atom_site_fract_z
_atom_site_occupancy
In1 In 0.000 0.000 0.250 1
Os1 Os 0.132 0.368 0.000 1
```

D(E_F) ... 1.493 states/eV per atom
Total energy ... -0.533 Ry per atom
DFT formation energy ... 1.143 eV per atom
M_tot ... 0.0 Bohr magnetons per cell

---

[4]
Entry from the Alexandria database: an optimized crystal structure of InOs2 (PBE).

```
data_InOs2
_chemical_formula_sum 'In2 Os4'
_cell_length_a 2.866
_cell_length_b 2.866
_cell_length_c 11.962
_cell_angle_alpha 90.00
_cell_angle_beta 90.00
_cell_angle_gamma 90.00
_symmetry_space_group_name_H-M 'I 4/m m m'
_symmetry_Int_Tables_number 139
_symmetry_space_group_name_Hall '-I 4 2'
loop_
_atom_site_label
_atom_site_type_symbol
_atom_site_fract_x
_atom_site_fract_y
_atom_site_fract_z
_atom_site_occupancy
In1 In 0.000 0.000 0.000 1
Os1 Os 0.000 0.000 0.319 1
```

D(E_F) ... 0.723 states/eV per atom
Total energy ... -0.596 Ry per atom
DFT formation energy ... 0.287 eV per atom
M_tot ... 0.0 Bohr magnetons per cell

---

[5]
Entry from the Alexandria database: an optimized crystal structure of InOs3 (PBE).

```
data_InOs3
_chemical_formula_sum 'In2 Os6'
_cell_length_a 4.518
_cell_length_b 5.627
_cell_length_c 4.975
_cell_angle_alpha 90.00
_cell_angle_beta 90.00
_cell_angle_gamma 90.00
_symmetry_space_group_name_H-M 'P m m n'
_symmetry_Int_Tables_number 59
loop_
_symmetry_equiv_pos_as_xyz
'x,y,z'
'-x,-y,-z'
'-x+1/2,-y+1/2,z'
'x+1/2,y+1/2,-z'
'x+1/2,-y,-z'
'-x+1/2,y,z'
'-x,y+1/2,-z'
'x,-y+1/2,z'
loop_
_atom_site_label
_atom_site_type_symbol
_atom_site_fract_x
_atom_site_fract_y
_atom_site_fract_z
_atom_site_occupancy
In1 In 0.250 0.250 0.136 1
Os1 Os 0.250 0.512 0.633 1
Os2 Os 0.250 0.750 0.170 1
```

D(E_F) ... 0.983 states/eV per atom
Total energy ... -0.629 Ry per atom
DFT formation energy ... 0.543 eV per atom
Distance to the lowest polymorph of the same formula ... 180 meV/atom
M_tot ... 0.0 Bohr magnetons per cell

---

[6]
Entry from the Alexandria database: an optimized crystal structure of InOs (PBE).

```
data_InOs
_chemical_formula_sum 'In3 Os3'
_cell_length_a 3.0145
_cell_length_b 3.0145
_cell_length_c 13.2190
_cell_angle_alpha 90.00
_cell_angle_beta 90.00
_cell_angle_gamma 120.00
_symmetry_space_group_name_H-M 'R -3 m'
_symmetry_Int_Tables_number 166
_symmetry_space_group_name_Hall '-R 3 2"'
loop_
_atom_site_label
_atom_site_type_symbol
_atom_site_fract_x
_atom_site_fract_y
_atom_site_fract_z
_atom_site_occupancy
In1 In 0.0000 0.0000 0.0000 1
Os1 Os 0.0000 0.0000 0.5000 1
```

D(E_F) ... 1.132 states/eV per atom
Total energy ... -0.466 Ry per atom
DFT formation energy ... 0.642 eV per atom
M_tot ... 0.0 Bohr magnetons per cell

---

[7]
Entry from the Alexandria database: an optimized crystal structure of InOs (PBE).

```
data_InOs
_chemical_formula_sum 'In4 Os4'
_cell_length_a 2.904
_cell_length_b 17.132
_cell_length_c 2.948
_cell_angle_alpha 90.00
_cell_angle_beta 90.00
_cell_angle_gamma 90.00
_symmetry_space_group_name_H-M 'C m c m'
_symmetry_Int_Tables_number 63
_symmetry_space_group_name_Hall '-C 2c 2'
loop_
_atom_site_label
_atom_site_type_symbol
_atom_site_fract_x
_atom_site_fract_y
_atom_site_fract_z
_atom_site_occupancy
In1 In 0.000 0.081 0.250 1
Os1 Os 0.000 0.297 0.250 1
```

D(E_F) ... 0.337 states/eV per atom
Total energy ... -0.496 Ry per atom
DFT formation energy ... 0.233 eV per atom
M_tot ... 0.0 Bohr magnetons per cell

---

[8]
Entry from the Alexandria database: an optimized crystal structure of InOs2 (PBE).

```
data_InOs2
_chemical_formula_sum 'In4 Os8'
_cell_length_a 3.963
_cell_length_b 3.963
_cell_length_c 15.074
_cell_angle_alpha 90.00
_cell_angle_beta 90.00
_cell_angle_gamma 90.00
_symmetry_space_group_name_H-M 'I 41/a m d'
_symmetry_Int_Tables_number 141
loop_
_symmetry_equiv_pos_as_xyz
'x,y,z'
'-x,-y,-z'
'-y+1/4,x+3/4,z+1/4'
'y+1/4,-x+3/4,-z+1/4'
'-x+1/2,-y,z+1/2'
'x+1/2,y,-z+1/2'
'y+1/4,-x+1/4,z+3/4'
'-y+1/4,x+1/4,-z+3/4'
'x,-y,-z'
'-x,y,z'
'-y+1/4,-x+1/4,-z+3/4'
'y+1/4,x+1/4,z+3/4'
'-x+1/2,y,-z+1/2'
'x+1/2,-y,z+1/2'
'y+1/4,x+3/4,-z+1/4'
'-y+1/4,-x+3/4,z+1/4'
'x+1/2,y+1/2,z+1/2'
'-x+1/2,-y+1/2,-z+1/2'
'-y+3/4,x+1/4,z+3/4'
'y+3/4,-x+1/4,-z+3/4'
'-x,-y+1/2,z'
'x,y+1/2,-z'
'y+3/4,-x+3/4,z+1/4'
'-y+3/4,x+3/4,-z+1/4'
'x+1/2,-y+1/2,-z+1/2'
'-x+1/2,y+1/2,z+1/2'
'-y+3/4,-x+3/4,-z+1/4'
'y+3/4,x+3/4,z+1/4'
'-x,y+1/2,-z'
'x,-y+1/2,z'
'y+3/4,x+1/4,-z+3/4'
'-y+3/4,-x+1/4,z+3/4'
loop_
_atom_site_label
_atom_site_type_symbol
_atom_site_fract_x
_atom_site_fract_y
_atom_site_fract_z
_atom_site_occupancy
In1 In 0.000 0.250 0.375 1
Os1 Os 0.000 0.250 0.795 1
```

D(E_F) ... 1.039 states/eV per atom
Total energy ... -0.558 Ry per atom
DFT formation energy ... 0.801 eV per atom
M_tot ... 0.0 Bohr magnetons per cell